SrMg2In | GGA-PBE | relaxed

Geometry as POSCAR:
```
SrMg2In
1.0
4.9444 0.0000 0.0000
0.0000 3.5786 -0.0013
0.0000 1.7789 6.5738
In Mg Sr
1 2 1
Cartesian
2.4722 4.6852 5.0480 In
0.0000 2.9138 0.0999 Mg
2.4722 1.1176 1.2067 Mg
0.0000 2.8982 3.5029 Sr
```

Symmetry: Pm (6)
VASP energy: -8.189 eV/cell
Formation enthalpy at 0 K: -56 kJ/mol of formula units